VASP calculation (PBE) on a geometry-optimized Ta3Co5 structure.

Summary:
- total energy (eV/atom) = -8.716
- space group = No. 193
- energy relative to the elements (kJ/mol of formula units) = 131.3
- M_tot (μB/atom) = 0.00
- polymorph energy (0 for the lowest one) (eV per atom) = 0.373

The structure in POSCAR format:
```
Ta3Co5
1.0
7.322 0.000 0.000
-3.661 6.341 0.000
0.000 0.000 4.755
Ta Co
6 10
Cartesian
-1.412 2.445 1.189
-2.249 3.896 3.566
2.824 0.000 1.189
1.412 2.445 3.566
4.499 0.000 3.566
2.249 3.896 1.189
-0.789 1.366 3.566
-2.873 4.976 1.189
1.577 0.000 3.566
0.789 1.366 1.189
0.000 4.228 0.000
0.000 4.228 2.377
3.661 2.114 0.000
3.661 2.114 2.377
5.745 0.000 1.189
2.873 4.976 3.566
```

***

VASP calculation (PBE) on a geometry-optimized BaLiHg2 structure.

Summary:
- total energy (eV/atom) = -1.479
- space group = No. 123
- energy relative to the elements (kJ/mol of formula units) = -142.2
- M_tot (μB/atom) = 0.00

The structure in POSCAR format:
```
BaLiHg2
1.0
3.853 0.000 0.000
0.000 3.853 0.000
0.000 0.000 7.652
Ba Li Hg
1 1 2
Cartesian
0.000 0.000 0.000
0.000 0.000 3.826
1.926 1.926 2.318
1.926 1.926 5.334
```

***

VASP calculation (PBE) on a geometry-optimized FePb2Br structure.

Summary:
- total energy (eV/atom) = -4.033
- space group = No. 65
- M_tot (μB/atom) = 0.68
- polymorph energy (0 for the lowest one) (eV per atom) = 0.265

The structure in POSCAR format:
```
FePb2Br
1.0
3.937 -3.941 0.000
3.937 3.941 0.000
0.000 0.000 3.269
Fe Pb Br
1 2 1
Cartesian
0.000 0.000 0.000
1.969 1.970 1.634
1.969 -1.970 1.634
3.937 0.000 0.000
```

***

VASP calculation (PBE) on a geometry-optimized ZrPaTe2 structure.

Summary:
- total energy (eV/atom) = -6.778
- space group = No. 160
- M_tot (μB/atom) = 0.06
- polymorph energy (0 for the lowest one) (eV per atom) = 0.025

The structure in POSCAR format:
```
ZrPaTe2
1.0
1.886 1.089 8.454
-1.886 1.089 8.454
0.000 -2.178 8.454
Zr Pa Te
1 1 2
Cartesian
0.000 0.000 0.000
0.000 0.000 21.179
0.000 0.000 6.503
0.000 0.000 10.424
```

***

VASP calculation (PBE) on a geometry-optimized TiAu3N structure.

Summary:
- total energy (eV/atom) = -3.555
- space group = No. 221
- M_tot (μB/atom) = 0.76
- polymorph energy (0 for the lowest one) (eV per atom) = 0.900

The structure in POSCAR format:
```
TiAu3N
1.0
5.087 0.000 0.000
0.000 5.087 0.000
0.000 0.000 5.087
Ti Au N
1 3 1
Cartesian
0.000 0.000 0.000
0.000 0.000 2.544
0.000 2.544 0.000
2.544 0.000 0.000
2.544 2.544 2.544
```

***

VASP calculation (PBE) on a geometry-optimized Pa6ReTc2 structure.

Summary:
- total energy (eV/atom) = -10.094
- space group = No. 147
- energy relative to the elements (kJ/mol of formula units) = -66.8
- M_tot (μB/atom) = 0.00

The structure in POSCAR format:
```
Pa6ReTc2
1.0
8.113 0.000 0.000
-4.057 7.026 0.000
0.000 0.000 3.491
Pa Re Tc
6 1 2
Cartesian
-2.173 4.977 0.816
0.833 2.656 0.816
2.716 0.606 2.675
1.340 6.420 0.816
3.223 4.371 2.675
6.230 2.050 2.675
0.000 0.000 1.745
0.000 4.684 2.602
4.057 2.342 0.889
```

***

VASP calculation (PBE) on a geometry-optimized TbSiAg2Se4 structure.

Summary:
- total energy (eV/atom) = -4.302
- space group = No. 74
- M_tot (μB/atom) = 0.00

The structure in POSCAR format:
```
TbSiAg2Se4
1.0
-3.858 4.108 5.710
3.858 -4.108 5.710
3.858 4.108 -5.710
Tb Si Ag Se
2 2 4 8
Cartesian
0.000 0.000 0.000
0.000 4.108 0.000
-1.929 2.054 2.855
1.929 2.054 2.855
1.929 2.054 -2.855
1.929 -2.054 2.855
3.858 0.000 0.000
0.000 0.000 5.710
1.962 2.054 0.211
5.754 2.054 0.211
3.858 0.194 2.842
0.000 0.194 2.868
3.858 3.914 2.842
0.000 3.914 2.868
-1.896 2.054 5.500
1.896 2.054 5.500
```

***

VASP calculation (PBE) on a geometry-optimized PmNdSm2Se6 structure.

Summary:
- total energy (eV/atom) = -5.829
- space group = No. 146
- M_tot (μB/atom) = 0.00

The structure in POSCAR format:
```
PmNdSm2Se6
1.0
3.711 2.143 6.598
-3.711 2.143 6.598
0.000 -4.285 6.598
Pm Nd Sm Se
1 1 2 6
Cartesian
0.000 0.000 0.000
0.000 0.000 9.917
0.000 0.000 5.937
0.000 0.000 15.821
-2.237 -0.022 7.894
-1.487 -2.185 11.195
1.138 -1.927 7.894
-1.148 2.381 11.195
1.100 1.949 7.894
2.636 -0.196 11.195
```

***

VASP calculation (PBE) on a geometry-optimized Nd3GeIr structure.

Summary:
- total energy (eV/atom) = -6.162
- space group = No. 12
- energy relative to the elements (kJ/mol of formula units) = -292.4
- M_tot (μB/atom) = 0.00

The structure in POSCAR format:
```
Nd3GeIr
1.0
7.603 -2.181 0.000
7.603 2.181 0.000
-0.047 0.000 8.437
Nd Ge Ir
6 2 2
Cartesian
0.755 0.000 1.445
3.702 0.000 6.783
5.855 0.000 3.718
9.305 0.000 4.719
11.458 0.000 1.654
14.404 0.000 6.992
5.942 0.000 0.596
9.217 0.000 7.842
2.917 0.000 3.426
12.242 0.000 5.011
```

***

VASP calculation (PBE) on a geometry-optimized LaNbNi10 structure.

Summary:
- total energy (eV/atom) = -6.220
- space group = No. 47
- energy relative to the elements (kJ/mol of formula units) = -176.9
- M_tot (μB/atom) = 0.16

The structure in POSCAR format:
```
LaNbNi10
1.0
3.980 0.000 0.000
0.000 4.805 0.000
0.000 0.000 8.394
La Nb Ni
1 1 10
Cartesian
0.000 0.000 0.000
0.000 2.402 4.197
0.000 0.000 2.903
0.000 0.000 5.491
0.000 2.402 1.575
0.000 2.402 6.819
1.990 0.000 4.197
1.990 1.242 2.227
1.990 1.242 6.167
1.990 2.402 0.000
1.990 3.563 2.227
1.990 3.563 6.167
```

***

VASP calculation (PBE) on a geometry-optimized Dy5ErTl8 structure.

Summary:
- total energy (eV/atom) = -3.549
- space group = No. 82
- energy relative to the elements (kJ/mol of formula units) = -307.4
- M_tot (μB/atom) = 0.00

The structure in POSCAR format:
```
Dy5ErTl8
1.0
-4.638 4.638 4.616
4.638 -4.638 4.616
4.638 4.638 -4.616
Dy Er Tl
5 1 8
Cartesian
0.000 0.000 0.000
5.785 2.345 -1.152
2.345 3.491 1.152
-1.147 2.293 3.465
2.293 1.147 5.768
4.638 0.000 2.308
3.086 0.742 -0.393
3.056 3.866 -1.926
1.582 0.772 2.691
3.896 -1.553 5.009
5.410 3.056 1.926
0.742 6.191 0.393
1.553 3.896 4.224
-0.772 1.582 6.542
```

***

VASP calculation (PBE) on a geometry-optimized Sr2Cd2Pd structure.

Summary:
- total energy (eV/atom) = -2.343
- space group = No. 139
- energy relative to the elements (kJ/mol of formula units) = -128.1
- M_tot (μB/atom) = 0.00
- polymorph energy (0 for the lowest one) (eV per atom) = 0.196

The structure in POSCAR format:
```
Sr2Cd2Pd
1.0
-2.005 2.005 9.576
2.005 -2.005 9.576
2.005 2.005 -9.576
Sr Cd Pd
2 2 1
Cartesian
0.000 0.000 1.761
0.000 0.000 17.391
2.005 0.000 4.788
0.000 2.005 4.788
0.000 0.000 9.576
```

***

VASP calculation (PBE) on a geometry-optimized NaZnCrH6 structure.

Summary:
- total energy (eV/atom) = -3.549
- space group = No. 194
- M_tot (μB/atom) = 0.11

The structure in POSCAR format:
```
NaZnCrH6
1.0
4.489 0.000 0.000
-2.244 3.887 0.000
0.000 0.000 9.390
Na Zn Cr H
2 2 2 12
Cartesian
0.000 0.000 0.000
0.000 0.000 4.695
0.000 2.591 2.348
2.244 1.296 7.043
0.000 2.591 7.043
2.244 1.296 2.348
-1.007 2.010 5.873
-1.007 2.010 8.213
1.007 2.010 5.873
1.007 2.010 8.213
0.000 3.754 5.873
0.000 3.754 8.213
2.244 0.133 1.178
2.244 0.133 3.518
1.238 1.877 1.178
1.238 1.877 3.518
3.251 1.877 1.178
3.251 1.877 3.518
```

***

VASP calculation (PBE) on a geometry-optimized MgTi2VC structure.

Summary:
- total energy (eV/atom) = -7.377
- space group = No. 123
- energy relative to the elements (kJ/mol of formula units) = -111.8
- M_tot (μB/atom) = 0.09

The structure in POSCAR format:
```
MgTi2VC
1.0
4.266 0.000 0.000
0.000 4.266 0.000
0.000 0.000 4.036
Mg Ti V C
1 2 1 1
Cartesian
0.000 0.000 0.000
0.000 2.133 2.018
2.133 0.000 2.018
2.133 2.133 0.000
2.133 2.133 2.018
```

***

VASP calculation (PBE) on a geometry-optimized NiMoPt structure.

Summary:
- total energy (eV/atom) = -7.726
- space group = No. 187
- energy relative to the elements (kJ/mol of formula units) = -50.6
- M_tot (μB/atom) = 0.00
- polymorph energy (0 for the lowest one) (eV per atom) = 0.082

The structure in POSCAR format:
```
NiMoPt
1.0
4.295 0.000 0.000
-2.148 3.720 0.000
0.000 0.000 2.651
Ni Mo Pt
1 1 1
Cartesian
0.000 0.000 0.000
0.000 2.480 1.326
2.148 1.240 0.000
```

***

VASP calculation (PBE) on a geometry-optimized Pm2LuRh structure.

Summary:
- total energy (eV/atom) = -5.618
- space group = No. 123
- energy relative to the elements (kJ/mol of formula units) = -105.8
- M_tot (μB/atom) = 0.22

The structure in POSCAR format:
```
Pm2LuRh
1.0
3.596 0.000 0.000
0.000 3.596 0.000
0.000 0.000 8.521
Pm Lu Rh
2 1 1
Cartesian
0.000 0.000 1.659
0.000 0.000 6.863
1.798 1.798 4.261
1.798 1.798 0.000
```

***

VASP calculation (PBE) on a geometry-optimized Tb2GaSi4Rh3 structure.

Summary:
- total energy (eV/atom) = -6.505
- space group = No. 115
- M_tot (μB/atom) = 0.00

The structure in POSCAR format:
```
Tb2GaSi4Rh3
1.0
4.100 0.000 0.000
0.000 4.100 0.000
0.000 0.000 10.120
Tb Ga Si Rh
2 1 4 3
Cartesian
0.000 2.050 2.447
2.050 0.000 7.673
0.000 0.000 5.060
0.000 0.000 0.000
0.000 2.050 6.529
2.050 0.000 3.591
2.050 2.050 0.000
0.000 2.050 8.876
2.050 0.000 1.244
2.050 2.050 5.060
```

***

VASP calculation (PBE) on a geometry-optimized ThCdHgRh structure.

Summary:
- total energy (eV/atom) = -4.381
- space group = No. 129
- energy relative to the elements (kJ/mol of formula units) = -148.0
- M_tot (μB/atom) = 0.00
- polymorph energy (0 for the lowest one) (eV per atom) = 0.000

The structure in POSCAR format:
```
ThCdHgRh
1.0
4.009 0.000 0.000
0.000 4.009 0.000
0.000 0.000 13.375
Th Cd Hg Rh
2 2 2 2
Cartesian
1.002 1.002 1.416
3.007 3.007 11.959
1.002 3.007 6.687
3.007 1.002 6.687
1.002 1.002 9.132
3.007 3.007 4.243
1.002 1.002 11.834
3.007 3.007 1.541
```

***

VASP calculation (PBE) on a geometry-optimized HoAg4Pb structure.

Summary:
- total energy (eV/atom) = -3.421
- space group = No. 216
- energy relative to the elements (kJ/mol of formula units) = -80.6
- M_tot (μB/atom) = 0.00

The structure in POSCAR format:
```
HoAg4Pb
1.0
0.000 4.009 4.009
4.009 0.000 4.009
4.009 4.009 0.000
Ho Ag Pb
1 4 1
Cartesian
0.000 0.000 0.000
3.003 3.003 3.003
5.014 5.014 3.003
5.014 3.003 5.014
3.003 5.014 5.014
6.013 6.013 6.013
```

***

VASP calculation (PBE) on a geometry-optimized La2Au2Se structure.

Summary:
- total energy (eV/atom) = -4.949
- space group = No. 127
- M_tot (μB/atom) = 0.00
- polymorph energy (0 for the lowest one) (eV per atom) = 0.096

The structure in POSCAR format:
```
La2Au2Se
1.0
8.189 0.000 0.000
0.000 8.189 0.000
0.000 0.000 3.982
La Au Se
4 4 2
Cartesian
1.445 2.650 0.000
2.650 6.744 0.000
5.539 1.445 0.000
6.744 5.539 0.000
1.008 5.102 1.991
3.086 1.008 1.991
5.102 7.181 1.991
7.181 3.086 1.991
0.000 0.000 1.991
4.094 4.094 1.991
```